This record from Alexandria via LeMat-Bulk describes Fe7Ge after structural relaxation. The functional is GGA-PBE.

```
data_Fe7Ge
_chemical_formula_sum 'Fe14 Ge2'
_space_group_name_H-M_alt 'I 4/m m m'
_space_group_IT_number 139
_space_group_name_Hall '-I 4 2'
_cell_length_a 3.535
_cell_length_b 3.535
_cell_length_c 15.262
_cell_angle_alpha 90.00
_cell_angle_beta 90.00
_cell_angle_gamma 90.00
loop_
_atom_site_label
_atom_site_type_symbol
_atom_site_fract_x
_atom_site_fract_y
_atom_site_fract_z
Fe1 Fe 0.000 0.000 0.000
Fe2 Fe 0.000 0.000 0.248
Fe3 Fe 0.000 0.500 0.123
Ge1 Ge 0.000 0.000 0.500
```

Summary:
Magnetic moment (Bohr magnetons per cell): 32.44
Formation energy from the elements (eV/atom): 0.016

---

This record from Alexandria via LeMat-Bulk describes ZrBe after structural relaxation. The functional is GGA-PBE.

```
data_ZrBe
_chemical_formula_sum 'Zr4 Be4'
_space_group_name_H-M_alt 'P 63/m m c'
_space_group_IT_number 194
_space_group_name_Hall '-P 6c 2c'
_cell_length_a 4.6854
_cell_length_b 4.6854
_cell_length_c 7.0162
_cell_angle_alpha 90.00
_cell_angle_beta 90.00
_cell_angle_gamma 120.00
loop_
_atom_site_label
_atom_site_type_symbol
_atom_site_fract_x
_atom_site_fract_y
_atom_site_fract_z
Zr1 Zr 0.0000 0.0000 0.2500
Zr2 Zr 0.3333 0.6667 0.2500
Be1 Be 0.3333 0.6667 0.6095
```

Summary:
Magnetic moment (Bohr magnetons per cell): 0.00
Formation energy from the elements (eV/atom): 0.499